The following is a DFT calculation (GGA-PBE) of Sb2SBr after structural relaxation.

Values from the calculation:
**Raw formation energy**: 0.31 eV/atom

Cell lengths 7.257, 7.257, 7.257 Å; angles 90.00, 90.00, 90.00 degrees
Space group Fm-3m (No. 225)
Unique sites:
1 Sb 0.250 0.250 0.250 x8
2 S 0.000 0.000 0.000 x4
3 Br 0.000 0.000 0.500 x4

=====

The following is a DFT calculation (GGA-PBE) of NaCaMgHg after structural relaxation.

Values from the calculation:
**Formation energy**: -198 meV per atom

Cell lengths 7.449, 7.449, 7.449 Å; angles 90.00, 90.00, 90.00 degrees
Space group F-43m (No. 216)
Unique sites:
1 Na 0.000 0.000 0.000 x4
2 Ca 0.250 0.250 0.250 x4
3 Mg 0.250 0.250 0.750 x4
4 Hg 0.000 0.000 0.500 x4

=====

The following is a DFT calculation (GGA-PBE) of RbNdIn2Br6 after structural relaxation.

Values from the calculation:
**Raw formation energy**: -1.38 eV/atom

Cell lengths 8.2647, 8.2647, 21.5137 Å; angles 90.00, 90.00, 120.00 degrees
Space group R3 (No. 146, hexagonal axes)
Unique sites:
1 Rb 0.0000 0.0000 0.0000 x3
2 Nd 0.0000 0.0000 0.4897 x3
3 In 0.0000 0.0000 0.2911 x3
4 In 0.0000 0.0000 0.7980 x3
5 Br 0.0083 0.7315 0.4014 x9
6 Br 0.0170 0.3856 0.2256 x9

=====

The following is a DFT calculation (GGA-PBE) of InSiGe after structural relaxation.

Values from the calculation:
**Raw formation energy**: 0.22 eV/atom

Cell lengths 3.878, 4.919, 7.180 Å; angles 94.61, 94.43, 100.69 degrees
Space group P-1 (No. 2)
Unique sites:
1 In 0.218 0.299 0.112 x2
2 Si 0.091 0.726 0.452 x2
3 Ge 0.387 0.100 0.720 x2

=====

The following is a DFT calculation (GGA-PBE) of Sb4PIr after structural relaxation.

Values from the calculation:
**Raw formation energy**: 1.19 eV/atom

Cell lengths 8.453, 8.453, 8.453 Å; angles 90.00, 90.00, 90.00 degrees
Space group F-43m (No. 216)
Unique sites:
1 Sb 0.125 0.125 0.125 x16
2 P 0.000 0.000 0.500 x4
3 Ir 0.250 0.250 0.750 x4

=====

The following is a DFT calculation (GGA-PBE) of K2AlSiAu after structural relaxation.

Values from the calculation:
**Raw formation energy**: 0.57 eV/atom

Cell lengths 6.508, 6.508, 4.734 Å; angles 90.00, 90.00, 90.00 degrees
Space group P4/mmm (No. 123)
Unique sites:
1 K 0.000 0.500 0.000 x2
2 Al 0.000 0.000 0.000 x1
3 Si 0.500 0.500 0.500 x1
4 Au 0.000 0.000 0.500 x1

=====

The following is a DFT calculation (GGA-PBE) of NaScSn after structural relaxation.

Values from the calculation:
**Formation energy**: 947 meV per atom

Cell lengths 5.6059, 5.6059, 11.0291 Å; angles 90.00, 90.00, 120.00 degrees
Space group P6_3/mmc (No. 194)
Unique sites:
1 Na 0.3333 0.6667 0.2500 x2
2 Sc 0.0000 0.0000 0.2500 x2
3 Sn 0.0000 0.0000 0.0000 x2

=====

Looking at volume for the records above, in order, we have 23.88; 25.83; 42.43; 22.26; 25.16; 40.10; 50.03 Å³ per atom.